Record 1
Below is a geometry-optimized CrSi3Te structure, with properties calculated at the PBEsol level.

a b c (Å): 5.0928 5.0928 5.0928
angles (deg): 90.00 90.00 90.00
Space group Pm-3m (No. 221)
Symmetry-distinct sites (fractional):
Cr 0.0000 0.0000 0.0000 [1 per cell]
Si 0.0000 0.5000 0.5000 [3 per cell]
Te 0.5000 0.5000 0.5000 [1 per cell]

Computed properties:
For the formation energy without anion corrections, the calculation gives 165.6 kJ/mol of atoms. Its density of states at the Fermi level is 3.20 states/eV per cell.

---

Record 2
Below is a geometry-optimized AgSbTe2 structure, with properties calculated at the PBEsol level.

a b c (Å): 4.2733 4.2733 20.4220
angles (deg): 90.00 90.00 120.00
Space group R-3m (No. 166, hexagonal axes)
Symmetry-distinct sites (fractional):
Ag 0.0000 0.0000 0.0000 [3 per cell]
Sb 0.0000 0.0000 0.5000 [3 per cell]
Te 0.0000 0.0000 0.2560 [6 per cell]

Computed properties:
For the formation energy without anion corrections, the calculation gives -8.1 kJ/mol of atoms. Its density of states at the Fermi level is 3.74 states/eV per cell.

---

Record 3
Below is a geometry-optimized NiMo2Au structure, with properties calculated at the PBEsol level.

a b c (Å): 2.6605 4.0318 5.3509
angles (deg): 90.00 90.00 90.00
Space group Pmmm (No. 47)
Symmetry-distinct sites (fractional):
Ni 0.0000 0.0000 0.0000 [1 per cell]
Mo 0.5000 0.5000 0.2265 [2 per cell]
Au 0.0000 0.0000 0.5000 [1 per cell]

Computed properties:
Its density of states at the Fermi level is 3.78 states/eV per cell. The value obtained for the formation energy is 121 meV/atom.

---

Record 4
Below is a geometry-optimized KReHg2 structure, with properties calculated at the PBEsol level.

a b c (Å): 4.1812 4.1812 9.8768
angles (deg): 90.00 90.00 90.00
Space group I-4m2 (No. 119)
Symmetry-distinct sites (fractional):
K 0.0000 0.0000 0.0000 [2 per cell]
Re 0.0000 0.5000 0.2500 [2 per cell]
Hg 0.0000 0.0000 0.5000 [2 per cell]
Hg 0.0000 0.5000 0.7500 [2 per cell]

Computed properties:
Its density of states at the Fermi level is 5.95 states/eV per cell. The value obtained for the formation energy is 1173 meV/atom.

---

Record 5
Below is a geometry-optimized Ni4MoRu structure, with properties calculated at the PBEsol level.

a b c (Å): 6.5101 6.5101 6.5101
angles (deg): 90.00 90.00 90.00
Space group F-43m (No. 216)
Symmetry-distinct sites (fractional):
Ni 0.1252 0.1252 0.1252 [16 per cell]
Mo 0.2500 0.2500 0.7500 [4 per cell]
Ru 0.0000 0.0000 0.5000 [4 per cell]

Computed properties:
Its density of states at the Fermi level is 26.38 states/eV per cell. The value obtained for the formation energy is -13 meV/atom.

---

Record 6
Below is a geometry-optimized Zr2TaIr structure, with properties calculated at the PBEsol level.

a b c (Å): 3.2977 3.2977 6.7784
angles (deg): 90.00 90.00 90.00
Space group P4/mmm (No. 123)
Symmetry-distinct sites (fractional):
Zr 0.0000 0.0000 0.2360 [2 per cell]
Ta 0.5000 0.5000 0.5000 [1 per cell]
Ir 0.5000 0.5000 0.0000 [1 per cell]

Computed properties:
Its density of states at the Fermi level is 4.15 states/eV per cell. The value obtained for the formation energy is -396 meV/atom.

---

Record 7
Below is a geometry-optimized ReAu3 structure, with properties calculated at the PBEsol level.

a b c (Å): 4.9404 4.9404 2.7108
angles (deg): 90.00 90.00 90.00
Space group P4/mmm (No. 123)
Symmetry-distinct sites (fractional):
Re 0.0000 0.0000 0.0000 [1 per cell]
Au 0.0000 0.5000 0.5000 [2 per cell]
Au 0.5000 0.5000 0.0000 [1 per cell]

Computed properties:
Its density of states at the Fermi level is 1.62 states/eV per cell. The value obtained for the formation energy is 496 meV/atom.

---

Record 8
Below is a geometry-optimized LaSi4Ni9 structure, with properties calculated at the PBEsol level.

a b c (Å): 7.7620 7.7620 11.3258
angles (deg): 90.00 90.00 90.00
Space group I4/mcm (No. 140)
Symmetry-distinct sites (fractional):
La 0.0000 0.0000 0.2500 [4 per cell]
Si 0.1709 0.3291 0.1176 [16 per cell]
Ni 0.0000 0.5000 0.0000 [4 per cell]
Ni 0.0687 0.2045 0.5000 [16 per cell]
Ni 0.1294 0.3706 0.3158 [16 per cell]

Computed properties:
For the formation energy without anion corrections, the calculation gives -62.7 kJ/mol of atoms. Its density of states at the Fermi level is 41.76 states/eV per cell.

---

Record 9
Below is a geometry-optimized Cr2GaSb structure, with properties calculated at the PBEsol level.

a b c (Å): 6.1771 6.1771 6.1771
angles (deg): 90.00 90.00 90.00
Space group Fm-3m (No. 225)
Symmetry-distinct sites (fractional):
Cr 0.2500 0.2500 0.2500 [8 per cell]
Ga 0.0000 0.0000 0.0000 [4 per cell]
Sb 0.0000 0.0000 0.5000 [4 per cell]

Computed properties:
For the formation energy without anion corrections, the calculation gives 31.1 kJ/mol of atoms. Its density of states at the Fermi level is 13.43 states/eV per cell.

---

Record 10
Below is a geometry-optimized KLaIn structure, with properties calculated at the PBEsol level.

a b c (Å): 5.7046 5.7046 3.1971
angles (deg): 90.00 90.00 120.00
Space group P3m1 (No. 156)
Symmetry-distinct sites (fractional):
K 0.0000 0.0000 0.0000 [1 per cell]
La 0.3333 0.6667 0.9965 [1 per cell]
In 0.6667 0.3333 0.4981 [1 per cell]

Computed properties:
Its density of states at the Fermi level is 2.50 states/eV per cell. The value obtained for the formation energy is 29 meV/atom.

---

Record 11
Below is a geometry-optimized NbPd3 structure, with properties calculated at the PBEsol level.

a b c (Å): 3.8797 3.8797 7.9671
angles (deg): 90.00 90.00 90.00
Space group I4/mmm (No. 139)
Symmetry-distinct sites (fractional):
Nb 0.0000 0.0000 0.0000 [2 per cell]
Pd 0.0000 0.0000 0.5000 [2 per cell]
Pd 0.0000 0.5000 0.2500 [4 per cell]

Computed properties:
Its density of states at the Fermi level is 3.56 states/eV per cell. The value obtained for the formation energy is -455 meV/atom.

---

Record 12
Below is a geometry-optimized HfB2TeC structure, with properties calculated at the PBEsol level.

a b c (Å): 4.4758 4.4758 4.2284
angles (deg): 90.00 90.00 90.00
Space group P4/mmm (No. 123)
Symmetry-distinct sites (fractional):
Hf 0.0000 0.0000 0.0000 [1 per cell]
B 0.0000 0.5000 0.0000 [2 per cell]
Te 0.5000 0.5000 0.5000 [1 per cell]
C 0.0000 0.0000 0.5000 [1 per cell]

Computed properties:
For the formation energy without anion corrections, the calculation gives 177.0 kJ/mol of atoms. Its density of states at the Fermi level is 2.49 states/eV per cell.

---

Number 1: DFT total energy -22.4 eV/f.u., size of the total moment 4.57 μB per formula unit. Number 2: DFT total energy -15.3 eV/f.u., size of the total moment 0.00 μB per formula unit. Number 3: DFT total energy -33.1 eV/f.u., size of the total moment 0.00 μB per formula unit. Number 4: DFT total energy -10.9 eV/f.u., size of the total moment 2.22 μB per formula unit. Number 5: DFT total energy -46.6 eV/f.u., size of the total moment 1.36 μB per formula unit. Number 6: DFT total energy -42.1 eV/f.u., size of the total moment 0.00 μB per formula unit. Number 7: DFT total energy -23.1 eV/f.u., size of the total moment 0.82 μB per formula unit. Number 8: DFT total energy -92.8 eV/f.u., size of the total moment 0.00 μB per formula unit. Number 9: DFT total energy -27.1 eV/f.u., size of the total moment 3.72 μB per formula unit. Number 10: DFT total energy -9.4 eV/f.u., size of the total moment 0.00 μB per formula unit. Number 11: DFT total energy -30.5 eV/f.u., size of the total moment 0.00 μB per formula unit. Number 12: DFT total energy -28.5 eV/f.u., size of the total moment 0.00 μB per formula unit.